Entry 1:
# PBE HoZrBi, optimized geometry
# Space group = I4mm
# Density = 9.78 Mg/m³
# Calculated formation energy = -0.36 eV/atom
# Total DFT energy (no corrections) = -6.026 eV per atom
data_HoZrBi
_chemical_formula_sum 'Ho1 Zr1 Bi1'
_space_group_name_H-M_alt 'P 1'
_space_group_IT_number 1
_cell_length_a 3.868
_cell_length_b 3.868
_cell_length_c 5.944
_cell_angle_alpha 108.99
_cell_angle_beta 108.99
_cell_angle_gamma 90.00
loop_
_space_group_symop_operation_xyz
'x,y,z'
loop_
_atom_site_label
_atom_site_fract_x
_atom_site_fract_y
_atom_site_fract_z
_atom_site_occupancy
Bi1 0.272 0.272 0.545 1
Zr1 0.628 0.628 0.255 1
Ho1 0.950 0.950 0.900 1


Entry 2:
# PBE FeSb, optimized geometry
# Space group = R-3m
# Density = 8.22 Mg/m³
# Formation energy without anion corrections = 0.3581 eV per atom
# Total DFT energy (no corrections) = -5.934 eV per atom
data_FeSb
_chemical_formula_sum 'Fe1 Sb1'
_space_group_name_H-M_alt 'P 1'
_space_group_IT_number 1
_cell_length_a 4.310
_cell_length_b 4.310
_cell_length_c 4.310
_cell_angle_alpha 44.60
_cell_angle_beta 44.60
_cell_angle_gamma 44.60
loop_
_space_group_symop_operation_xyz
'x,y,z'
loop_
_atom_site_label
_atom_site_fract_x
_atom_site_fract_y
_atom_site_fract_z
_atom_site_occupancy
Fe1 0.000 0.000 0.000 1
Sb1 0.500 0.500 0.500 1


Entry 3:
# PBE CaTe2Ru, optimized geometry
# Space group = P4/mmm
# Density = 7.11 Mg/m³
# Formation energy without anion corrections = -0.1615 eV per atom
# Polymorph energy (0 for the lowest one) = 550 meV per atom
# Total DFT energy (no corrections) = -4.552 eV per atom
data_CaTe2Ru
_chemical_formula_sum 'Ca1 Te2 Ru1'
_space_group_name_H-M_alt 'P 1'
_space_group_IT_number 1
_cell_length_a 3.504
_cell_length_b 3.504
_cell_length_c 7.535
_cell_angle_alpha 90.00
_cell_angle_beta 90.00
_cell_angle_gamma 90.00
loop_
_space_group_symop_operation_xyz
'x,y,z'
loop_
_atom_site_label
_atom_site_fract_x
_atom_site_fract_y
_atom_site_fract_z
_atom_site_occupancy
Ru1 0.500 0.500 0.750 1
Ca1 0.500 0.500 0.250 1
Te1 0.000 0.000 0.962 1
Te2 0.000 0.000 0.538 1